*w*
Density functional theory data (PBE) for a relaxed structure of TmSnF.

The space group is C2/m (No. 12) and the conventional cell measures 11.0113, 3.7850 and 8.3531 Å, with angles of 90.00, 127.36 and 90.00 degrees. Symmetry generates all atoms from Tm at (0.1777, 0.0000, 0.2588), Sn at (0.1183, 0.5000, 0.8782) and F at (0.2199, 0.0000, 0.5730).

The value obtained for the density of states at the Fermi level is 0.426 states/eV per atom. The magnetization is 0.00 μB/f.u. For the volume, the calculation gives 23.060 Å³/atom.

---

*x*
Density functional theory data (PBE) for a relaxed structure of TmSnF.

The space group is P-6m2 (No. 187) and the conventional cell measures 3.7935, 3.7935 and 5.1949 Å, with angles of 90.00, 90.00 and 120.00 degrees. Symmetry generates all atoms from Tm at (0.0000, 0.0000, 0.0000), Sn at (0.3333, 0.6667, 0.5000) and F at (0.6667, 0.3333, 0.0000).

The value obtained for the density of states at the Fermi level is 0.128 states/eV per atom. The magnetization is 0.00 μB/f.u. For the volume, the calculation gives 21.581 Å³/atom.

---

So which one wins? Going from most stable to least: *w*, *x*.